# GGA+U V2CrF6, optimized geometry
data_V2CrF6
_chemical_formula_sum 'V2 Cr1 F6'
_cell_length_a 5.4490
_cell_length_b 5.4490
_cell_length_c 4.5680
_cell_angle_alpha 90.00
_cell_angle_beta 90.00
_cell_angle_gamma 120.00
_space_group_name_H-M_alt 'P -3 1 m'
_space_group_IT_number 162
_space_group_name_Hall '-P 3 2'
loop_
_atom_site_label
_atom_site_type_symbol
_atom_site_fract_x
_atom_site_fract_y
_atom_site_fract_z
V1 V 0.3333 0.6667 0.0000
Cr1 Cr 0.0000 0.0000 0.5000
F1 F 0.0000 0.3353 0.2411
# DFT total energy (eV/cell): -56.329
# V (Å³/atom): 13.052